Below is NaSb2Pt2 after structural relaxation, with properties calculated at the GGA-PBE level.

Cell and atoms, written as POSCAR:
```
NaSb2Pt2
1.0
-2.4656 2.4656 4.8968
2.4656 -2.4656 4.8968
2.4656 2.4656 -4.8968
Na Sb Pt
1 2 2
direct
0.0000 0.0000 0.0000
0.2500 0.7500 0.5000
0.7500 0.2500 0.5000
0.3613 0.3613 0.0000
0.6387 0.6387 0.0000
```

Computed properties:
Volume, Å³/atom: 23.82
Calculated total energy, eV/atom: -4.68
Raw formation energy, eV per formula unit: -1.76
ΔE to the lowest computed polymorph, eV/atom: 0.099
Total magnetic moment, μB/atom: 0.000


Below is Na3Sb2Pt4 after structural relaxation, with properties calculated at the GGA-PBE level.

Cell and atoms, written as POSCAR:
```
Na3Sb2Pt4
1.0
5.4025 -2.2324 0.0000
5.4025 2.2324 0.0000
-1.8934 0.0000 8.5777
Na Sb Pt
3 2 4
direct
0.0000 0.0000 0.0000
0.3818 0.3818 0.6192
0.6182 0.6182 0.3808
0.3100 0.3100 0.2331
0.6900 0.6900 0.7669
0.0904 0.0904 0.6268
0.2699 0.2699 0.9167
0.7301 0.7301 0.0833
0.9096 0.9096 0.3732
```

Computed properties:
Volume, Å³/atom: 22.99
Calculated total energy, eV/atom: -4.40
Raw formation energy, eV per formula unit: -3.25
Total magnetic moment, μB/atom: 0.000